(1)
DFT (PBE) results for an optimized crystal structure of BeV2Mo2Ru5.

SG = P4/mbm, No. 127
total DFT energy (no corrections) = -178.50 eV per cell
density = 9.58 Mg/m³
E_form = 0.075 eV per atom

POSCAR file:
```
BeV2Mo2Ru5
1.0
9.7578 0.0000 0.0000
0.0000 9.7578 0.0000
0.0000 0.0000 2.9433
Be V Mo Ru
2 4 4 10
direct
0.0000 0.0000 0.0000 Be
0.5000 0.5000 0.0000 Be
0.1381 0.3619 0.0000 V
0.3619 0.8619 0.0000 V
0.6381 0.1381 0.0000 V
0.8619 0.6381 0.0000 V
0.1770 0.6770 0.0000 Mo
0.3230 0.1770 0.0000 Mo
0.6770 0.8230 0.0000 Mo
0.8230 0.3230 0.0000 Mo
0.0000 0.5000 0.5000 Ru
0.0575 0.1846 0.5000 Ru
0.1846 0.9425 0.5000 Ru
0.3154 0.4425 0.5000 Ru
0.4425 0.6846 0.5000 Ru
0.5000 0.0000 0.5000 Ru
0.5575 0.3154 0.5000 Ru
0.6846 0.5575 0.5000 Ru
0.8154 0.0575 0.5000 Ru
0.9425 0.8154 0.5000 Ru
```

=====

(2)
DFT (PBE) results for an optimized crystal structure of LiHg6.

SG = R-3m, No. 166
offset from the most stable computed form = 0.04 eV per formula unit
total DFT energy (no corrections) = -4.23 eV per cell
density = 11.51 Mg/m³
E_form = -0.072 eV per atom

POSCAR file:
```
LiHg6
1.0
2.4523 1.4158 8.3850
-2.4523 1.4158 8.3850
0.0000 -2.8317 8.3850
Li Hg
1 6
direct
0.0000 0.0000 0.0000 Li
0.1404 0.1404 0.1404 Hg
0.2924 0.2924 0.2924 Hg
0.4236 0.4236 0.4236 Hg
0.5764 0.5764 0.5764 Hg
0.7076 0.7076 0.7076 Hg
0.8596 0.8596 0.8596 Hg
```